# 1
Crystalline Pd5Pb3O12 at its relaxed geometry, computed with PBE.

Results
As for the total magnetic moment: 0.01 Bohr magnetons per cell. As for the electronic total energy: -839.024 eV per cell. Its density of states at the Fermi level is 131.3 states/eV/cell. As for the raw formation energy: -0.415 eV/atom.

```
data_Pd5Pb3O12
_chemical_formula_sum 'Pd40 Pb24 O96'
_cell_length_a 13.188
_cell_length_b 13.188
_cell_length_c 13.188
_cell_angle_alpha 90.00
_cell_angle_beta 90.00
_cell_angle_gamma 90.00
_space_group_name_H-M_alt 'I a -3 d'
_space_group_IT_number 230
_space_group_name_Hall '-I 4bd 2c 3'
loop_
_atom_site_label
_atom_site_fract_x
_atom_site_fract_y
_atom_site_fract_z
Pd1 0.000 0.000 0.000
Pd2 0.000 0.250 0.375
Pb1 0.000 0.250 0.125
O1 0.019 0.046 0.650
```

# 2
Crystalline Pd4PbO8 at its relaxed geometry, computed with PBE.

Results
As for the total magnetic moment: 3.62 Bohr magnetons per cell. As for the electronic total energy: -139.454 eV per cell. Its density of states at the Fermi level is 6.6 states/eV/cell. As for the raw formation energy: -0.429 eV/atom.

```
data_Pd4PbO8
_chemical_formula_sum 'Pd8 Pb2 O16'
_cell_length_a 11.278
_cell_length_b 6.122
_cell_length_c 7.898
_cell_angle_alpha 90.00
_cell_angle_beta 130.40
_cell_angle_gamma 90.00
_space_group_name_H-M_alt 'C 1 2/m 1'
_space_group_IT_number 12
_space_group_name_Hall '-C 2y'
loop_
_atom_site_label
_atom_site_fract_x
_atom_site_fract_y
_atom_site_fract_z
Pd1 0.000 0.248 0.000
Pd2 0.242 0.000 0.986
Pb1 0.000 0.500 0.500
O1 0.014 0.000 0.841
O2 0.023 0.500 0.849
O3 0.230 0.259 0.811
```

# 3
Crystalline PdPbO4 at its relaxed geometry, computed with PBE.

Results
As for the total magnetic moment: 0.00 Bohr magnetons per cell. As for the electronic total energy: -126.941 eV per cell. Its density of states at the Fermi level is 13.3 states/eV/cell. As for the raw formation energy: -0.500 eV/atom.

```
data_PdPbO4
_chemical_formula_sum 'Pd4 Pb4 O16'
_cell_length_a 6.814
_cell_length_b 6.814
_cell_length_c 6.662
_cell_angle_alpha 90.00
_cell_angle_beta 90.00
_cell_angle_gamma 90.00
_space_group_name_H-M_alt 'I 41 m d'
_space_group_IT_number 109
_space_group_name_Hall 'I 4bw -2'
loop_
_atom_site_label
_atom_site_fract_x
_atom_site_fract_y
_atom_site_fract_z
Pd1 0.000 0.000 0.000
Pb1 0.000 0.000 0.505
O1 0.000 0.186 0.770
O2 0.000 0.195 0.241
```

# 4
Crystalline Pd2PbO4 at its relaxed geometry, computed with PBE.

Results
As for the total magnetic moment: 0.00 Bohr magnetons per cell. As for the electronic total energy: -68.699 eV per cell. As for the energy above the most stable polymorph in this dataset: 4.26 eV/f.u. Its density of states at the Fermi level is 12.0 states/eV/cell. As for the raw formation energy: -0.060 eV/atom.

```
data_Pd2PbO4
_chemical_formula_sum 'Pd4 Pb2 O8'
_cell_length_a 6.964
_cell_length_b 6.964
_cell_length_c 6.695
_cell_angle_alpha 90.00
_cell_angle_beta 90.00
_cell_angle_gamma 90.00
_space_group_name_H-M_alt 'I 4/m'
_space_group_IT_number 87
_space_group_name_Hall '-I 4'
loop_
_atom_site_label
_atom_site_fract_x
_atom_site_fract_y
_atom_site_fract_z
Pd1 0.000 0.500 0.250
Pb1 0.000 0.000 0.000
O1 0.008 0.333 0.000
```